# CsSrAl3 | Alexandria via LeMat-Bulk | PBE | relaxed
# **Crystal system**: cubic
# **ΔE_f**: 116.7 kJ/mol of atoms
# **Fermi-level density of states**: 4.62 states/eV/cell
data_CsSrAl3
_space_group_name_H-M_alt 'P m -3 m'
_space_group_IT_number 221
_space_group_name_Hall '-P 4 2 3'
_cell_length_a 5.840
_cell_length_b 5.840
_cell_length_c 5.840
_cell_angle_alpha 90.00
_cell_angle_beta 90.00
_cell_angle_gamma 90.00
loop_
_atom_site_label
_atom_site_type_symbol
_atom_site_fract_x
_atom_site_fract_y
_atom_site_fract_z
_atom_site_occupancy
Cs1 Cs 0.000 0.000 0.000 1
Sr1 Sr 0.500 0.500 0.500 1
Al1 Al 0.000 0.000 0.500 1